MnNi18O20: relaxed, PBE with a Hubbard U.

Computed properties:
symmetry: C2/m, No. 12
VASP energy: -0.1824 Ha/atom
total magnetization: 2.0 Bohr magnetons per cell
calculated volume: 749.3 Å³ per cell

Cell lengths 5.9689, 5.9689, 21.4499 Å; angles 98.00, 98.00, 89.99 degrees
Last column: nearest neighbours and their distance in Å.
Atoms (fractional coordinates):
Mn: 0.2002 0.2002 0.3999  6 O 1.92-1.98
Mn: 0.7998 0.7998 0.6001  6 O 1.92-1.98
Ni: 0.0000 0.0000 0.0000  6 O 2.11
Ni: 0.0000 0.0000 0.5000  6 O 2.09-2.13
Ni: 0.0000 0.5000 0.0000  6 O 2.11-2.12
Ni: 0.0000 0.5000 0.5000  6 O 2.10-2.12
Ni: 0.1001 0.1001 0.2002  6 O 2.09-2.22
Ni: 0.1006 0.6006 0.2012  6 O 2.11
Ni: 0.1060 0.1060 0.6984  6 O 2.06-2.17
Ni: 0.1058 0.5928 0.6984  6 O 2.06-2.17
Ni: 0.1995 0.1995 0.8994  6 O 2.11
Ni: 0.2000 0.7003 0.4004  6 O 2.08-2.12
Ni: 0.1995 0.6999 0.8994  6 O 2.11
Ni: 0.3002 0.3002 0.1006  6 O 2.11
Ni: 0.3001 0.8005 0.1006  6 O 2.11
Ni: 0.2997 0.8000 0.5996  6 O 2.08-2.12
Ni: 0.3994 0.8994 0.7988  6 O 2.11
Ni: 0.4002 0.4002 0.8004  6 O 2.01-2.13
Ni: 0.4075 0.4075 0.3016  6 O 2.06-2.17
Ni: 0.4072 0.8942 0.3016  6 O 2.06-2.17
Ni: 0.5000 0.0000 0.0000  6 O 2.11-2.12
Ni: 0.5000 0.0000 0.5000  6 O 2.10-2.12
Ni: 0.5000 0.5000 0.0000  6 O 2.10-2.11
Ni: 0.5000 0.5000 0.5000  6 O 2.09-2.12
Ni: 0.5928 0.1058 0.6984  6 O 2.06-2.17
Ni: 0.5925 0.5925 0.6984  6 O 2.06-2.17
Ni: 0.5998 0.5998 0.1996  6 O 2.01-2.13
Ni: 0.6006 0.1006 0.2012  6 O 2.11
Ni: 0.7003 0.2000 0.4004  6 O 2.08-2.12
Ni: 0.6999 0.1995 0.8994  6 O 2.11
Ni: 0.6998 0.6998 0.8994  6 O 2.11
Ni: 0.8005 0.3001 0.1006  6 O 2.11
Ni: 0.8000 0.2997 0.5996  6 O 2.08-2.12
Ni: 0.8005 0.8005 0.1006  6 O 2.11
Ni: 0.8942 0.4072 0.3016  6 O 2.06-2.17
Ni: 0.8940 0.8940 0.3016  6 O 2.06-2.17
Ni: 0.8994 0.3994 0.7988  6 O 2.11
Ni: 0.8999 0.8999 0.7998  6 O 2.09-2.22
O: 0.0281 0.0281 0.5991  1 Mn 1.93, 4 Ni 2.09-2.12
O: 0.0282 0.5712 0.5994  1 Mn 1.93, 4 Ni 2.10-2.12
O: 0.0501 0.0501 0.1002  6 Ni 2.10-2.11
O: 0.0504 0.5504 0.1008  6 Ni 2.11-2.12
O: 0.1471 0.1471 0.7990  6 Ni 2.09-2.13
O: 0.1471 0.6520 0.7991  6 Ni 2.09-2.13
O: 0.1508 0.6507 0.3016  6 Ni 2.08-2.11
O: 0.1527 0.1527 0.3057  1 Mn 1.98, 4 Ni 2.17
O: 0.2466 0.2466 0.4911  1 Mn 1.92, 4 Ni 2.11-2.13
O: 0.2492 0.7508 0.5000  6 Ni 2.09-2.12
O: 0.2497 0.2497 0.0000  6 Ni 2.11
O: 0.2497 0.7503 0.0000  6 Ni 2.11
O: 0.3480 0.3480 0.2010  6 Ni 2.09-2.13
O: 0.3480 0.8529 0.2009  6 Ni 2.09-2.13
O: 0.3493 0.8492 0.6984  6 Ni 2.08-2.11
O: 0.3526 0.3526 0.7051  5 Ni 2.01-2.06
O: 0.4289 0.4289 0.4010  1 Mn 1.93, 4 Ni 2.09-2.12
O: 0.4288 0.9718 0.4006  1 Mn 1.93, 4 Ni 2.10-2.12
O: 0.4500 0.4500 0.9001  6 Ni 2.10-2.11
O: 0.4496 0.9496 0.8992  6 Ni 2.11-2.12
O: 0.5504 0.0504 0.1008  6 Ni 2.11-2.12
O: 0.5500 0.5500 0.0999  6 Ni 2.10-2.11
O: 0.5712 0.0282 0.5994  1 Mn 1.93, 4 Ni 2.10-2.12
O: 0.5711 0.5711 0.5990  1 Mn 1.93, 4 Ni 2.09-2.12
O: 0.6474 0.6474 0.2949  5 Ni 2.01-2.06
O: 0.6507 0.1508 0.3016  6 Ni 2.08-2.11
O: 0.6520 0.1471 0.7991  6 Ni 2.09-2.13
O: 0.6520 0.6520 0.7990  6 Ni 2.09-2.13
O: 0.7503 0.2497 0.0000  6 Ni 2.11
O: 0.7503 0.7503 0.0000  6 Ni 2.11
O: 0.7508 0.2492 0.5000  6 Ni 2.09-2.12
O: 0.7534 0.7534 0.5089  1 Mn 1.92, 4 Ni 2.11-2.13
O: 0.8473 0.8473 0.6943  1 Mn 1.98, 4 Ni 2.17
O: 0.8492 0.3493 0.6984  6 Ni 2.08-2.11
O: 0.8529 0.3480 0.2009  6 Ni 2.09-2.13
O: 0.8529 0.8529 0.2010  6 Ni 2.09-2.13
O: 0.9496 0.4496 0.8992  6 Ni 2.11-2.12
O: 0.9499 0.9499 0.8998  6 Ni 2.10-2.11
O: 0.9718 0.4288 0.4006  1 Mn 1.93, 4 Ni 2.10-2.12
O: 0.9719 0.9719 0.4009  1 Mn 1.93, 4 Ni 2.09-2.12